Compound: MnPt2Br
Source: Alexandria via LeMat-Bulk
Functional: PBE
Structure: relaxed

Lattice parameters (Å, degrees): 9.233 9.233 9.233 18.62 18.62 18.62
Sites, in units of the cell vectors:
Mn 0.000 0.000 0.000
Pt 0.262 0.262 0.262
Pt 0.738 0.738 0.738
Br 0.500 0.500 0.500

Calculated values
The excess energy over the best structure of this formula in the dataset is 0.077 eV per atom. The uncorrected formation energy is 0.127 eV/atom. The density of states at the Fermi level is 0.554 states/eV per atom.



Compound: LaNd2Co9
Source: Alexandria via LeMat-Bulk
Functional: PBE
Structure: relaxed

Lattice parameters (Å, degrees): 8.777 8.777 8.777 33.57 33.57 33.57
Sites, in units of the cell vectors:
La 0.000 0.000 0.000
Nd 0.140 0.140 0.140
Nd 0.860 0.860 0.860
Co 0.082 0.580 0.580
Co 0.334 0.334 0.334
Co 0.420 0.420 0.918
Co 0.420 0.918 0.420
Co 0.500 0.500 0.500
Co 0.580 0.082 0.580
Co 0.580 0.580 0.082
Co 0.666 0.666 0.666
Co 0.918 0.420 0.420

Calculated values
The value obtained for the formation energy is -0.037 eV per atom. The density of states at the Fermi level is 1.567 states/eV per atom.



Compound: CeNd2Tl9
Source: Alexandria via LeMat-Bulk
Functional: PBE
Structure: relaxed

Lattice parameters (Å, degrees): 4.836 4.836 14.498 90.00 90.00 90.00
Sites, in units of the cell vectors:
Ce 0.000 0.000 0.000
Nd 0.000 0.000 0.334
Nd 0.000 0.000 0.666
Tl 0.000 0.500 0.166
Tl 0.000 0.500 0.500
Tl 0.000 0.500 0.834
Tl 0.500 0.000 0.166
Tl 0.500 0.000 0.500
Tl 0.500 0.000 0.834
Tl 0.500 0.500 0.000
Tl 0.500 0.500 0.333
Tl 0.500 0.500 0.667

Calculated values
The value obtained for the formation energy is -0.293 eV per atom. The density of states at the Fermi level is 0.802 states/eV per atom.



Compound: Pm14NdTl
Source: Alexandria via LeMat-Bulk
Functional: PBE
Structure: relaxed

Lattice parameters (Å, degrees): 7.222 7.222 10.263 90.00 90.00 90.00
Sites, in units of the cell vectors:
Pm 0.000 0.000 0.000
Pm 0.000 0.500 0.000
Pm 0.000 0.500 0.500
Pm 0.248 0.248 0.253
Pm 0.248 0.248 0.747
Pm 0.248 0.752 0.253
Pm 0.248 0.752 0.747
Pm 0.500 0.000 0.000
Pm 0.500 0.000 0.500
Pm 0.500 0.500 0.000
Pm 0.752 0.248 0.253
Pm 0.752 0.248 0.747
Pm 0.752 0.752 0.253
Pm 0.752 0.752 0.747
Nd 0.500 0.500 0.500
Tl 0.000 0.000 0.500

Calculated values
The value obtained for the formation energy is -0.019 eV per atom. The density of states at the Fermi level is 1.283 states/eV per atom.



Compound: CdOsSe2N
Source: Alexandria via LeMat-Bulk
Functional: PBE
Structure: relaxed

Lattice parameters (Å, degrees): 5.191 5.191 3.682 90.00 90.00 90.00
Sites, in units of the cell vectors:
Cd 0.000 0.000 0.000
Os 0.500 0.500 0.500
Se 0.000 0.500 0.500
Se 0.500 0.000 0.500
N 0.500 0.500 0.000

Calculated values
The excess energy over the best structure of this formula in the dataset is 0.000 eV per atom. The uncorrected formation energy is 0.280 eV/atom. The density of states at the Fermi level is 0.660 states/eV per atom.



Compound: MgPaCuHg
Source: Alexandria via LeMat-Bulk
Functional: PBE
Structure: relaxed

Lattice parameters (Å, degrees): 4.936 4.936 4.936 60.00 60.00 60.00
Sites, in units of the cell vectors:
Mg 0.000 0.000 0.000
Pa 0.500 0.500 0.500
Cu 0.750 0.750 0.750
Hg 0.250 0.250 0.250

Calculated values
The value obtained for the formation energy is 0.040 eV per atom. The density of states at the Fermi level is 1.144 states/eV per atom.



Compound: La2PrAu4
Source: Alexandria via LeMat-Bulk
Functional: PBE
Structure: relaxed

Lattice parameters (Å, degrees): 7.619 7.619 7.619 137.90 137.90 61.05
Sites, in units of the cell vectors:
La 0.216 0.216 0.000
La 0.784 0.784 0.000
Pr 0.500 0.500 0.000
Au 0.118 0.618 0.500
Au 0.382 0.882 0.500
Au 0.618 0.118 0.500
Au 0.882 0.382 0.500

Calculated values
The excess energy over the best structure of this formula in the dataset is 0.000 eV per atom. The value obtained for the formation energy is -0.668 eV per atom. The density of states at the Fermi level is 1.069 states/eV per atom.



Compound: Tl2AsW
Source: Alexandria via LeMat-Bulk
Functional: PBE
Structure: relaxed

Lattice parameters (Å, degrees): 8.253 8.253 8.253 158.36 151.32 36.21
Sites, in units of the cell vectors:
Tl 0.176 0.176 0.000
Tl 0.824 0.824 0.000
As 0.500 0.000 0.500
W 0.000 0.500 0.500

Calculated values
The excess energy over the best structure of this formula in the dataset is 0.146 eV per atom. The value obtained for the formation energy is 0.483 eV per atom. The density of states at the Fermi level is 0.989 states/eV per atom.



Number 1: uncorrected energy -0.2059 hartree per atom. Number 2: uncorrected energy -0.2415 hartree per atom. Number 3: uncorrected energy -0.1234 hartree per atom. Number 4: uncorrected energy -0.1698 hartree per atom. Number 5: uncorrected energy -0.1914 hartree per atom. Number 6: uncorrected energy -0.1408 hartree per atom. Number 7: uncorrected energy -0.1702 hartree per atom. Number 8: uncorrected energy -0.1875 hartree per atom.